The following is a PBE-GGA calculation of crystalline PuNi9Hg2 at its relaxed geometry, from the Alexandria database.

Cell lengths 8.431, 8.431, 8.431 Å; angles 33.88, 33.88, 33.88 degrees
Atoms (fractional coordinates):
Pu1 0.000 0.000 0.000
Ni1 0.081 0.583 0.583
Ni2 0.334 0.334 0.334
Ni3 0.417 0.417 0.919
Ni4 0.417 0.919 0.417
Ni5 0.500 0.500 0.500
Ni6 0.583 0.081 0.583
Ni7 0.583 0.583 0.081
Ni8 0.666 0.666 0.666
Ni9 0.919 0.417 0.417
Hg1 0.141 0.141 0.141
Hg2 0.859 0.859 0.859

* DFT formation energy: -0.0264 eV/atom